Record 1
# CrCu2Pt GGA-PBE optimized geometry
# DFT total energy in eV/atom: -5.769
# E_form in eV/atom: 0.195
data_CrCu2Pt
_cell_length_a 5.9056
_cell_length_b 5.9056
_cell_length_c 5.9056
_cell_angle_alpha 90.00
_cell_angle_beta 90.00
_cell_angle_gamma 90.00
_space_group_name_H-M_alt 'F m -3 m'
_space_group_IT_number 225
_space_group_name_Hall '-F 4 2 3'
loop_
_atom_site_label
_atom_site_type_symbol
_atom_site_fract_x
_atom_site_fract_y
_atom_site_fract_z
_atom_site_occupancy
Cr1 Cr 0.0000 0.0000 0.0000 1
Cu1 Cu 0.2500 0.2500 0.2500 1
Pt1 Pt 0.0000 0.0000 0.5000 1



Record 2
# CrCuPt2 GGA-PBE optimized geometry
# DFT total energy in eV/atom: -6.627
# E_form in eV/atom: -0.177
data_CrCuPt2
_cell_length_a 3.7991
_cell_length_b 3.7991
_cell_length_c 7.9019
_cell_angle_alpha 90.00
_cell_angle_beta 90.00
_cell_angle_gamma 90.00
_space_group_name_H-M_alt 'I -4 m 2'
_space_group_IT_number 119
_space_group_name_Hall 'I -4 -2'
loop_
_atom_site_label
_atom_site_type_symbol
_atom_site_fract_x
_atom_site_fract_y
_atom_site_fract_z
_atom_site_occupancy
Cr1 Cr 0.0000 0.0000 0.0000 1
Cu1 Cu 0.0000 0.5000 0.7500 1
Pt1 Pt 0.0000 0.0000 0.5000 1
Pt2 Pt 0.0000 0.5000 0.2500 1